[1]
Entry from Alexandria: an optimized crystal structure of Zn9Pd11Au4 (PBE).

a b c (Å): 2.8984 11.3767 11.3767
angles (deg): 101.82 90.00 90.00
With the nearest neighbours (Å) after each atom.
Fractional coordinates of all 24 atoms:
Pd 0.0000 0.6071 0.9573  6 Zn 2.61-2.86, 3 Pd 2.80-2.90, 2 Au 2.86
Pd 0.0000 0.3929 0.0427  6 Zn 2.61-2.86, 3 Pd 2.80-2.90, 2 Au 2.86
Pd 0.0000 0.0000 0.0000  8 Zn 2.66, 4 Pd 2.90
Pd 0.0000 0.8091 0.1909  8 Zn 2.68-2.70, 3 Pd 2.90-2.98
Pd 0.0000 0.6406 0.3594  6 Zn 2.75-2.87, 4 Au 2.88, 3 Pd 2.90-2.98
Pd 0.0000 0.1909 0.8091  8 Zn 2.68-2.70, 3 Pd 2.90-2.98
Pd 0.0000 0.3594 0.6406  6 Zn 2.75-2.87, 4 Au 2.88, 3 Pd 2.90-2.98
Pd 0.0000 0.9573 0.6071  6 Zn 2.61-2.86, 3 Pd 2.80-2.90, 2 Au 2.86
Pd 0.0000 0.7977 0.7977  4 Zn 2.63, 4 Au 2.87, 3 Pd 2.90
Pd 0.0000 0.0427 0.3929  6 Zn 2.61-2.86, 3 Pd 2.80-2.90, 2 Au 2.86
Pd 0.0000 0.2023 0.2023  4 Zn 2.63, 4 Au 2.87, 3 Pd 2.90
Au 0.5000 0.2634 0.4238  2 Zn 2.64-2.65, 3 Au 2.83-2.90, 6 Pd 2.86-2.88
Au 0.5000 0.4238 0.2634  2 Zn 2.64-2.65, 3 Au 2.83-2.90, 6 Pd 2.86-2.88
Au 0.5000 0.7366 0.5762  2 Zn 2.64-2.65, 3 Au 2.83-2.90, 6 Pd 2.86-2.88
Au 0.5000 0.5762 0.7366  2 Zn 2.64-2.65, 3 Au 2.83-2.90, 6 Pd 2.86-2.88
Zn 0.5000 0.3956 0.8500  8 Pd 2.63-2.86, 1 Au 2.64, 2 Zn 2.90
Zn 0.5000 0.1977 0.0088  8 Pd 2.61-2.68, 2 Zn 2.90
Zn 0.5000 0.0088 0.1977  8 Pd 2.61-2.68, 2 Zn 2.90
Zn 0.5000 0.8023 0.9912  8 Pd 2.61-2.68, 2 Zn 2.90
Zn 0.5000 0.1500 0.6044  8 Pd 2.63-2.86, 1 Au 2.64, 2 Zn 2.90
Zn 0.5000 0.6044 0.1500  8 Pd 2.63-2.86, 1 Au 2.64, 2 Zn 2.90
Zn 0.5000 0.5000 0.5000  4 Au 2.65, 4 Pd 2.87, 2 Zn 2.90
Zn 0.5000 0.9912 0.8023  8 Pd 2.61-2.68, 2 Zn 2.90
Zn 0.5000 0.8500 0.3956  8 Pd 2.63-2.86, 1 Au 2.64, 2 Zn 2.90

Results
As for the formation enthalpy at 0 K: -0.4294 eV per atom.

***

[2]
Entry from Alexandria: an optimized crystal structure of LaNiPC2 (PBE).

a b c (Å): 3.6747 5.6980 3.6747
angles (deg): 90.00 90.00 90.00
With the nearest neighbours (Å) after each atom.
Fractional coordinates of all 5 atoms:
C 0.0000 0.0000 0.5000  2 P 1.84
C 0.5000 0.0000 0.0000  2 P 1.84
P 0.0000 0.0000 0.0000  4 C 1.84
La 0.0000 0.5000 0.0000  4 Ni 2.60, 2 P 2.85
Ni 0.5000 0.5000 0.5000  4 La 2.60

Results
As for the formation enthalpy at 0 K: 1.3896 eV per atom.

***

[3]
Entry from Alexandria: an optimized crystal structure of CoHSBr (PBE).

a b c (Å): 4.3172 3.7564 4.9666
angles (deg): 90.00 91.68 90.00
With the nearest neighbours (Å) after each atom.
Fractional coordinates of all 4 atoms:
S 0.2062 0.0000 0.6405  1 H 1.37
Co 0.2091 0.5000 0.4297  2 S 2.15, 2 Br 2.30-2.35
H 0.5029 0.0000 0.7437  1 S 1.37
Br 0.6972 0.5000 0.2539  2 Co 2.30-2.35

Results
For the relative energy among the computed polymorphs, the calculation gives 2.51 kcal/mol of atoms.

***

[4]
Entry from Alexandria: an optimized crystal structure of TlSbRu2Rh (PBE).

a b c (Å): 4.9804 5.4059 4.9804
angles (deg): 90.00 90.00 90.00
With the nearest neighbours (Å) after each atom.
Fractional coordinates of all 5 atoms:
Tl 0.0000 0.0000 0.0000  4 Ru 2.49, 2 Sb 2.70
Sb 0.0000 0.5000 0.0000  2 Tl 2.70
Ru 0.5000 0.0000 0.0000  2 Tl 2.49
Ru 0.0000 0.0000 0.5000  2 Tl 2.49
Rh 0.5000 0.5000 0.5000  4 Sb 3.52, 8 Ru 3.68

Results
The value obtained for the formation energy from raw total energies is 11.36 eV per formula unit.

***

[5]
Entry from Alexandria: an optimized crystal structure of CsRe2Br (PBE).

a b c (Å): 4.7975 4.7975 4.7975
angles (deg): 60.00 60.00 60.00
With the nearest neighbours (Å) after each atom.
Fractional coordinates of all 4 atoms:
Re 0.2500 0.2500 0.2500  4 Br 2.94, 4 Cs 2.94
Re 0.7500 0.7500 0.7500  4 Br 2.94, 4 Cs 2.94
Br 0.0000 0.0000 0.0000  8 Re 2.94
Cs 0.5000 0.5000 0.5000  8 Re 2.94

Results
The value obtained for the formation energy from raw total energies is 10.89 eV per formula unit.

***

[6]
Entry from Alexandria: an optimized crystal structure of Pm12GaPb6 (PBE).

a b c (Å): 8.9834 8.9834 8.9834
angles (deg): 99.58 99.58 99.58
With the nearest neighbours (Å) after each atom.
Fractional coordinates of all 19 atoms:
Pm 0.0297 0.6777 0.9404  1 Ga 2.92, 2 Pb 3.18-3.20
Pm 0.6777 0.9404 0.0297  1 Ga 2.92, 2 Pb 3.18-3.20
Pm 0.1950 0.4208 0.5572  4 Pb 3.17-3.39
Pm 0.4208 0.5572 0.1950  4 Pb 3.17-3.39
Pm 0.5572 0.1950 0.4208  4 Pb 3.17-3.39
Pm 0.5792 0.4428 0.8050  4 Pb 3.17-3.39
Pm 0.8050 0.5792 0.4428  4 Pb 3.17-3.39
Pm 0.4428 0.8050 0.5792  4 Pb 3.17-3.39
Pm 0.0596 0.9703 0.3223  1 Ga 2.92, 2 Pb 3.18-3.20
Pm 0.9703 0.3223 0.0596  1 Ga 2.92, 2 Pb 3.18-3.20
Pm 0.9404 0.0297 0.6777  1 Ga 2.92, 2 Pb 3.18-3.20
Pm 0.3223 0.0596 0.9703  1 Ga 2.92, 2 Pb 3.18-3.20
Pb 0.3109 0.1214 0.6303  7 Pm 3.17-3.41
Pb 0.6891 0.8786 0.3697  7 Pm 3.17-3.41
Pb 0.1214 0.6303 0.3109  7 Pm 3.17-3.41
Pb 0.3697 0.6891 0.8786  7 Pm 3.17-3.41
Pb 0.8786 0.3697 0.6891  7 Pm 3.17-3.41
Pb 0.6303 0.3109 0.1214  7 Pm 3.17-3.41
Ga 0.0000 0.0000 0.0000  6 Pm 2.92

Results
As for the formation enthalpy at 0 K: -0.2540 eV per atom.

***

[7]
Entry from Alexandria: an optimized crystal structure of AcLuMgGa (PBE).

a b c (Å): 5.4019 5.4019 5.4019
angles (deg): 60.00 60.00 60.00
With the nearest neighbours (Å) after each atom.
Fractional coordinates of all 4 atoms:
Ac 0.0000 0.0000 0.0000  4 Mg 3.31, 4 Ga 3.31
Mg 0.7500 0.7500 0.7500  4 Lu 3.31, 4 Ac 3.31
Lu 0.5000 0.5000 0.5000  4 Mg 3.31, 4 Ga 3.31
Ga 0.2500 0.2500 0.2500  4 Ac 3.31, 4 Lu 3.31

Results
As for the formation enthalpy at 0 K: -0.2306 eV per atom.

***

[8]
Entry from Alexandria: an optimized crystal structure of La3TmSn4 (PBE).

a b c (Å): 4.1991 7.1486 9.7540
angles (deg): 111.50 102.43 90.00
With the nearest neighbours (Å) after each atom.
Fractional coordinates of all 8 atoms:
Sn 0.6264 0.4203 0.2527  1 Sn 2.95, 1 Tm 3.06, 2 La 3.27
Sn 0.6264 0.8324 0.2527  1 Sn 2.95, 1 Tm 3.06, 2 La 3.27
Sn 0.3736 0.1676 0.7473  1 Sn 2.95, 1 Tm 3.06, 2 La 3.27
Sn 0.3736 0.5797 0.7473  1 Sn 2.95, 1 Tm 3.06, 2 La 3.27
La 0.0000 0.5000 0.0000  8 Sn 3.40
La 0.2037 0.2037 0.4073  6 Sn 3.27-3.34
La 0.7963 0.7963 0.5927  6 Sn 3.27-3.34
Tm 0.5000 0.0000 0.0000  4 Sn 3.06

Results
As for the formation enthalpy at 0 K: -0.6033 eV per atom.

***

Total moment list, top to bottom, in μB per formula unit: 0.000, 0.000, 0.000, 4.644, 0.000, 0.000, 0.000, 0.000
VASP energy list, top to bottom, in eV/atom: -3.833, -5.524, -4.157, -4.206, -4.134, -4.585, -3.543, -5.011